## VO2 (PBE+U)

Data for a geometry-optimized VO2 structure.

a = 3.8757 Å, b = 3.8757 Å, c = 6.8251 Å
α = 90.43°, β = 90.43°, γ = 41.64°
Closest atoms and distances in Å follow each position.
Fractional positions:
V: 0.0911 0.0911 0.1540  2 O 1.82
V: 0.9089 0.9089 0.8460  2 O 1.82
O: 0.3662 0.3662 0.6782  2 V 1.82
O: 0.3680 0.3680 0.0908  5 V 2.06-2.19, 1 O 2.29
O: 0.6320 0.6320 0.9092  5 V 2.06-2.19, 1 O 2.29
O: 0.6338 0.6338 0.3218  2 V 1.82

Values from the calculation:
Crystal system: monoclinic
Total magnetic moment, μB per cell: 0.00
Mass density, Mg/m³: 4.044
VASP energy, eV/atom: -7.272

***

## Na2FeNiO4 (PBE+U)

Data for a geometry-optimized Na2FeNiO4 structure.

a = 9.9134 Å, b = 8.1966 Å, c = 6.7842 Å
α = 82.28°, β = 55.02°, γ = 42.70°
Closest atoms and distances in Å follow each position.
Fractional positions:
Na: 0.0538 0.0538 0.6962  2 O 2.22
Na: 0.3038 0.3038 0.9462  2 O 2.22
Na: 0.6962 0.6962 0.0538  2 O 2.22
Na: 0.9462 0.9462 0.3038  2 O 2.22
Fe: 0.3750 0.3750 0.3750  4 O 1.83
Fe: 0.6250 0.6250 0.6250  4 O 1.83
Ni: 0.1250 0.1250 0.1250  4 O 1.87
Ni: 0.8750 0.8750 0.8750  4 O 1.87
O: 0.0235 0.7138 0.5269  1 Fe 1.83, 1 Ni 1.87
O: 0.2358 0.5269 0.7138  1 Fe 1.83, 1 Ni 1.87
O: 0.2862 0.9765 0.7642  1 Fe 1.83, 1 Ni 1.87
O: 0.4731 0.7642 0.9765  1 Fe 1.83, 1 Ni 1.87
O: 0.5269 0.2358 0.0235  1 Fe 1.83, 1 Ni 1.87
O: 0.7138 0.0235 0.2358  1 Fe 1.83, 1 Ni 1.87
O: 0.7642 0.4731 0.2862  1 Fe 1.83, 1 Ni 1.87
O: 0.9765 0.2862 0.4731  1 Fe 1.83, 1 Ni 1.87

Values from the calculation:
Crystal system: orthorhombic
Total magnetic moment, μB per cell: 8.08
Mass density, Mg/m³: 2.843
VASP energy, eV/atom: -4.871